Entry 1:
# KInSb | the Alexandria database | PBE | relaxed
# - Total magnetization: 0.000 μB/atom
# - Density: 4611 kg/m3
# - Formation energy without anion corrections: -0.200 eV per atom
data_KInSb
_symmetry_space_group_name_H-M 'F m m 2'
_symmetry_Int_Tables_number 42
_symmetry_space_group_name_Hall 'F 2 -2'
_cell_length_a 5.295
_cell_length_b 5.327
_cell_length_c 14.077
_cell_angle_alpha 90.00
_cell_angle_beta 90.00
_cell_angle_gamma 90.00
loop_
_atom_site_label
_atom_site_fract_x
_atom_site_fract_y
_atom_site_fract_z
_atom_site_occupancy
K1 0.000 0.000 0.000 1
In1 0.000 0.000 0.694 1
Sb1 0.000 0.000 0.319 1

***

Entry 2:
# KInSb2 | the Alexandria database | PBE | relaxed
# - Total magnetization: 0.000 μB/atom
# - Density: 5030 kg/m3
# - Formation energy without anion corrections: -0.090 eV per atom
data_KInSb2
_symmetry_space_group_name_H-M 'C 1 m 1'
_symmetry_Int_Tables_number 8
_symmetry_space_group_name_Hall 'C -2y'
_cell_length_a 11.707
_cell_length_b 3.338
_cell_length_c 6.760
_cell_angle_alpha 90.00
_cell_angle_beta 96.53
_cell_angle_gamma 90.00
loop_
_atom_site_label
_atom_site_fract_x
_atom_site_fract_y
_atom_site_fract_z
_atom_site_occupancy
K1 0.000 0.000 0.000 1
In1 0.250 0.000 0.708 1
Sb1 0.020 0.500 0.493 1
Sb2 0.242 0.500 0.311 1

***

Entry 3:
# KIn2Sb | the Alexandria database | PBE | relaxed
# - Total magnetization: 0.000 μB/atom
# - Density: 4573 kg/m3
# - Formation energy without anion corrections: -0.101 eV per atom
data_KIn2Sb
_symmetry_space_group_name_H-M 'P 4/n m m'
_symmetry_Int_Tables_number 129
_cell_length_a 5.020
_cell_length_b 5.020
_cell_length_c 11.253
_cell_angle_alpha 90.00
_cell_angle_beta 90.00
_cell_angle_gamma 90.00
loop_
_symmetry_equiv_pos_as_xyz
'x,y,z'
'-x,-y,-z'
'-y+1/2,x,z'
'y+1/2,-x,-z'
'-x+1/2,-y+1/2,z'
'x+1/2,y+1/2,-z'
'y,-x+1/2,z'
'-y,x+1/2,-z'
'x+1/2,-y,-z'
'-x+1/2,y,z'
'-y,-x,-z'
'y,x,z'
'-x,y+1/2,-z'
'x,-y+1/2,z'
'y+1/2,x+1/2,-z'
'-y+1/2,-x+1/2,z'
loop_
_atom_site_label
_atom_site_fract_x
_atom_site_fract_y
_atom_site_fract_z
_atom_site_occupancy
K1 0.250 0.250 0.247 1
In1 0.250 0.250 0.945 1
In2 0.250 0.750 0.500 1
Sb1 0.250 0.250 0.665 1

***

Entry 4:
# KIn2Sb2 | the Alexandria database | PBE | relaxed
# - Total magnetization: 0.000 μB/atom
# - Distance to the lowest polymorph of the same formula: 0.150 eV/atom
# - Density: 5377 kg/m3
# - Formation energy without anion corrections: -0.101 eV per atom
data_KIn2Sb2
_symmetry_space_group_name_H-M 'P 4/m b m'
_symmetry_Int_Tables_number 127
_symmetry_space_group_name_Hall '-P 4 2ab'
_cell_length_a 8.794
_cell_length_b 8.794
_cell_length_c 4.091
_cell_angle_alpha 90.00
_cell_angle_beta 90.00
_cell_angle_gamma 90.00
loop_
_atom_site_label
_atom_site_fract_x
_atom_site_fract_y
_atom_site_fract_z
_atom_site_occupancy
K1 0.000 0.000 0.000 1
In1 0.146 0.354 0.500 1
Sb1 0.131 0.631 0.000 1